This record from Alexandria describes crystalline SrLaNiHg at its relaxed geometry. The functional is PBE-GGA.

## Properties
Spin magnetization ... 0.0 μB per formula unit
ΔH_f (0 K) ... -0.211 eV/atom

a b c (Å): 7.5668 7.5668 7.5668
angles (deg): 90.00 90.00 90.00
Space group F-43m (No. 216)
Asymmetric unit:
Sr 0.0000 0.0000 0.0000 [4 per cell]
La 0.0000 0.0000 0.5000 [4 per cell]
Ni 0.2500 0.2500 0.2500 [4 per cell]
Hg 0.2500 0.2500 0.7500 [4 per cell]

---

This record from Alexandria describes crystalline Sr2LaNiHg at its relaxed geometry. The functional is PBE-GGA.

## Properties
Spin magnetization ... 0.0 μB per formula unit
ΔH_f (0 K) ... -0.124 eV/atom

a b c (Å): 5.8822 5.8822 5.2076
angles (deg): 90.00 90.00 90.00
Space group P4/mmm (No. 123)
Asymmetric unit:
Sr 0.0000 0.5000 0.0000 [2 per cell]
La 0.0000 0.0000 0.5000 [1 per cell]
Ni 0.0000 0.0000 0.0000 [1 per cell]
Hg 0.5000 0.5000 0.5000 [1 per cell]

---

This record from Alexandria describes crystalline LaTa2NiHg at its relaxed geometry. The functional is PBE-GGA.

## Properties
Spin magnetization ... 0.0 μB per formula unit
ΔH_f (0 K) ... 0.624 eV/atom

a b c (Å): 4.7600 4.7600 4.9884
angles (deg): 90.00 90.00 90.00
Space group P4/mmm (No. 123)
Asymmetric unit:
La 0.0000 0.0000 0.0000 [1 per cell]
Ta 0.0000 0.5000 0.5000 [2 per cell]
Ni 0.5000 0.5000 0.5000 [1 per cell]
Hg 0.5000 0.5000 0.0000 [1 per cell]

---

This record from Alexandria describes crystalline LaNiHg2Te at its relaxed geometry. The functional is PBE-GGA.

## Properties
Spin magnetization ... 1.4 μB per formula unit

a b c (Å): 6.3456 6.3456 5.9784
angles (deg): 90.00 90.00 90.00
Space group P4/mmm (No. 123)
Asymmetric unit:
La 0.0000 0.0000 0.0000 [1 per cell]
Ni 0.5000 0.5000 0.5000 [1 per cell]
Hg 0.0000 0.5000 0.0000 [2 per cell]
Te 0.0000 0.0000 0.5000 [1 per cell]

---

This record from Alexandria describes crystalline La2TlNiHg at its relaxed geometry. The functional is PBE-GGA.

## Properties
Spin magnetization ... 0.0 μB per formula unit
ΔH_f (0 K) ... -0.309 eV/atom
Energy above the most stable polymorph in this dataset ... 0 meV/atom

a b c (Å): 5.3557 5.3557 4.9957
angles (deg): 90.00 90.00 90.00
Space group P4/mmm (No. 123)
Asymmetric unit:
La 0.0000 0.5000 0.0000 [2 per cell]
Tl 0.0000 0.0000 0.5000 [1 per cell]
Ni 0.5000 0.5000 0.0000 [1 per cell]
Hg 0.5000 0.5000 0.5000 [1 per cell]

---

This record from Alexandria describes crystalline La2TlNiHg at its relaxed geometry. The functional is PBE-GGA.

## Properties
Spin magnetization ... 0.0 μB per formula unit
ΔH_f (0 K) ... -0.277 eV/atom
Energy above the most stable polymorph in this dataset ... 32 meV/atom

a b c (Å): 5.4056 5.4056 4.9716
angles (deg): 90.00 90.00 90.00
Space group P4/mmm (No. 123)
Asymmetric unit:
La 0.0000 0.5000 0.0000 [2 per cell]
Tl 0.0000 0.0000 0.5000 [1 per cell]
Ni 0.0000 0.0000 0.0000 [1 per cell]
Hg 0.5000 0.5000 0.5000 [1 per cell]

---

This record from Alexandria describes crystalline LaZn2NiHg at its relaxed geometry. The functional is PBE-GGA.

## Properties
Spin magnetization ... 0.0 μB per formula unit
ΔH_f (0 K) ... -0.206 eV/atom
Energy above the most stable polymorph in this dataset ... 7 meV/atom

a b c (Å): 4.6631 4.6631 4.9681
angles (deg): 90.00 90.00 90.00
Space group P4/mmm (No. 123)
Asymmetric unit:
La 0.0000 0.0000 0.0000 [1 per cell]
Zn 0.0000 0.5000 0.5000 [2 per cell]
Ni 0.5000 0.5000 0.5000 [1 per cell]
Hg 0.5000 0.5000 0.0000 [1 per cell]

---

This record from Alexandria describes crystalline La2ZnNiHg at its relaxed geometry. The functional is PBE-GGA.

## Properties
Spin magnetization ... 0.0 μB per formula unit
ΔH_f (0 K) ... -0.312 eV/atom

a b c (Å): 5.3710 5.3710 4.6381
angles (deg): 90.00 90.00 90.00
Space group P4/mmm (No. 123)
Asymmetric unit:
La 0.0000 0.5000 0.0000 [2 per cell]
Zn 0.0000 0.0000 0.5000 [1 per cell]
Ni 0.0000 0.0000 0.0000 [1 per cell]
Hg 0.5000 0.5000 0.5000 [1 per cell]

---

Number 1: final energy -3.38 eV per atom. Number 2: final energy -3.00 eV per atom. Number 3: final energy -6.32 eV per atom. Number 4: final energy -2.23 eV per atom. Number 5: final energy -3.97 eV per atom. Number 6: final energy -3.94 eV per atom. Number 7: final energy -2.92 eV per atom. Number 8: final energy -3.75 eV per atom.